Version i
Here is a relaxed structure of Tb4Y7In from the Alexandria database. Energies are from PBE-GGA.

Calculated values
Volume ... 792.2 Å³ per cell
Total magnetic moment ... 0.001 μB per formula unit

abc: 16.125 5.877 9.325
angles: 90.00 116.30 90.00
Space group C2/m (No. 12)
Symmetry-distinct sites (fractional):
Tb1 0.100 0.000 0.486
Tb2 0.235 0.000 0.277
Y1 0.000 0.000 0.000
Y2 0.064 0.500 0.724
Y3 0.160 0.500 0.332
Y4 0.216 0.000 0.897
In1 0.000 0.500 0.000


Version ii
Here is a relaxed structure of Tb4Y7In from the Alexandria database. Energies are from PBE-GGA.

Calculated values
Volume ... 801.7 Å³ per cell
Total magnetic moment ... 0.000 μB per formula unit

abc: 12.124 5.839 12.272
angles: 90.00 112.65 90.00
Space group C2/m (No. 12)
Symmetry-distinct sites (fractional):
Tb1 0.121 0.000 0.269
Tb2 0.137 0.500 0.118
Y1 0.000 0.000 0.500
Y2 0.104 0.500 0.775
Y3 0.133 0.000 0.974
Y4 0.202 0.500 0.417
In1 0.000 0.500 0.500


Least stable = version ii